# 1
ReBi2Au | PBE | relaxed

## Properties
Formation energy from the elements in eV per atom: 0.96
Calculated total energy in eV per formula unit: -19.65
Offset from the most stable computed form in eV per atom: 0.1095
Density of states at the Fermi level in states/eV/cell: 14.876

Geometry as CIF:
```
data_ReBi2Au
_chemical_formula_sum 'Re4 Bi8 Au4'
_cell_length_a 6.482
_cell_length_b 6.482
_cell_length_c 12.156
_cell_angle_alpha 90.00
_cell_angle_beta 90.00
_cell_angle_gamma 90.00
_space_group_name_H-M_alt 'I -4 2 d'
_space_group_IT_number 122
_space_group_name_Hall 'I -4 2bw'
loop_
_atom_site_label
_atom_site_fract_x
_atom_site_fract_y
_atom_site_fract_z
Re1 0.000 0.000 0.000
Bi1 0.226 0.250 0.125
Au1 0.000 0.000 0.500
```


# 2
LiLa2Cu16 | PBE | relaxed

## Properties
Formation energy from the elements in eV per atom: -0.11
Calculated total energy in eV per formula unit: -79.47
Density of states at the Fermi level in states/eV/cell: 25.162

Geometry as CIF:
```
data_LiLa2Cu16
_chemical_formula_sum 'Li3 La6 Cu48'
_cell_length_a 8.6819
_cell_length_b 8.6819
_cell_length_c 12.7131
_cell_angle_alpha 90.00
_cell_angle_beta 90.00
_cell_angle_gamma 120.00
_space_group_name_H-M_alt 'R 3 m'
_space_group_IT_number 160
_space_group_name_Hall 'R 3 -2"'
loop_
_atom_site_label
_atom_site_fract_x
_atom_site_fract_y
_atom_site_fract_z
Li1 0.0000 0.0000 0.0000
La1 0.0000 0.0000 0.2565
La2 0.0000 0.0000 0.5694
Cu1 0.0000 0.0000 0.8108
Cu2 0.0003 0.2928 0.9083
Cu3 0.0014 0.5007 0.4087
Cu4 0.0016 0.5008 0.7528
Cu5 0.1685 0.3371 0.3997
```